! PBE with a Hubbard U Tl3FeO, optimized geometry; values from VASP
! **Final energy**: -3.08 eV/atom
! **Relative energy among the computed polymorphs**: 0 kJ/mol of formula units
&SYSTEM
  ibrav = 0, nat = 5, ntyp = 3
/
ATOMIC_SPECIES
Tl 204.38 Tl.upf
Fe 55.84 Fe.upf
O 16.00 O.upf
ATOMIC_POSITIONS crystal
Tl 0.000 0.000 0.500
Tl 0.000 0.500 0.000
Tl 0.500 0.000 0.000
Fe 0.500 0.500 0.500
O 0.000 0.000 0.000
CELL_PARAMETERS angstrom
5.001 0.000 0.000
0.000 5.001 0.000
0.000 0.000 5.001